# 1
{"formula": "CaAgMo3", "functional": "SCAN", "state": "single point on PBEsol structure", "e_form_ev_per_atom": 2.2393, "dos_ef_per_ev_atom": 1.38, "spacegroup": "Pm-3m (221)", "lattice_angstrom": [[4.8353, 0.0000, 0.0000], [0.0000, 4.8353, 0.0000], [0.0000, 0.0000, 4.8353]], "species": ["Mo", "Mo", "Mo", "Ag", "Ca"], "frac_coords": [[0.5000, 0.0000, 0.0000], [0.0000, 0.0000, 0.5000], [0.0000, 0.5000, 0.0000], [0.0000, 0.0000, 0.0000], [0.5000, 0.5000, 0.5000]]}

---

# 2
{"formula": "HgAs2Pb", "functional": "SCAN", "state": "single point on PBEsol structure", "e_form_ev_per_atom": 0.0654, "dos_ef_per_ev_atom": 0.39, "relative_energy_ev_per_atom": 0.0000, "spacegroup": "R3m (160)", "lattice_angstrom": [[-3.1031, -1.2995, 1.2163], [-1.0022, -3.3271, -0.8508], [2.6872, -4.5798, 7.2233]], "species": ["Hg", "Pb", "As", "As"], "frac_coords": [[0.4919, 0.4919, 0.5244], [0.2521, 0.2521, 0.2438], [0.7389, 0.7389, 0.7833], [0.0172, 0.0172, 0.9484]]}

---

# 3
{"formula": "Cs2KGaCl6", "functional": "SCAN", "state": "single point on PBEsol structure", "raw_formation_energy_mev_per_atom": -1866.5, "dos_ef_per_ev_atom": 0.00, "spacegroup": "Fm-3m (225)", "lattice_angstrom": [[-0.3870, 7.2362, 1.9568], [-6.6812, 3.3552, 0.6675], [-2.5740, 1.9208, 6.7843]], "species": ["Cl", "Cl", "Cl", "Cl", "Cl", "Cl", "K", "Cs", "Cs", "Ga"], "frac_coords": [[0.7228, 0.7228, 0.2772], [0.7228, 0.2772, 0.2772], [0.2772, 0.7228, 0.7228], [0.7228, 0.2772, 0.7228], [0.2772, 0.2772, 0.7228], [0.2772, 0.7228, 0.2772], [0.0000, 0.0000, 0.0000], [0.7500, 0.7500, 0.7500], [0.2500, 0.2500, 0.2500], [0.5000, 0.5000, 0.5000]]}

---

# 4
{"formula": "ZnSb2Se", "functional": "SCAN", "state": "single point on PBEsol structure", "raw_formation_energy_mev_per_atom": 195.9, "dos_ef_per_ev_atom": 0.36, "relative_energy_ev_per_atom": 0.3652, "spacegroup": "I-42d (122)", "lattice_angstrom": [[6.0189, 0.0000, 0.0000], [0.0000, 6.0189, 0.0000], [-3.0095, -3.0095, 6.6786]], "species": ["Sb", "Sb", "Sb", "Sb", "Se", "Se", "Zn", "Zn"], "frac_coords": [[0.6250, 0.5960, 0.7500], [0.4040, 0.8750, 0.2500], [0.1250, 0.1540, 0.7500], [0.8460, 0.3750, 0.2500], [0.2500, 0.7500, 0.5000], [0.0000, 0.0000, 0.0000], [0.5000, 0.5000, 0.0000], [0.7500, 0.2500, 0.5000]]}

---

# 5
{"formula": "LaOs3I", "functional": "SCAN", "state": "single point on PBEsol structure", "raw_formation_energy_mev_per_atom": 1773.2, "dos_ef_per_ev_atom": 0.92, "spacegroup": "Pm-3m (221)", "lattice_angstrom": [[-3.6609, -1.2234, -2.8944], [-2.6195, -1.2666, 3.8485], [-1.7358, 4.4918, 0.2969]], "species": ["Os", "Os", "Os", "La", "I"], "frac_coords": [[0.5000, 0.0000, 0.0000], [0.0000, 0.5000, 0.0000], [0.0000, 0.0000, 0.5000], [0.5000, 0.5000, 0.5000], [0.0000, 0.0000, 0.0000]]}

---

# 6
{"formula": "InFeP2", "functional": "SCAN", "state": "single point on PBEsol structure", "e_form_ev_per_atom": 0.2569, "dos_ef_per_ev_atom": 0.41, "spacegroup": "P4mm (99)", "lattice_angstrom": [[-2.7664, 0.6699, 0.6778], [0.4090, -1.0449, 2.7022], [2.0814, 6.4070, 2.1625]], "species": ["Fe", "In", "P", "P"], "frac_coords": [[0.0000, 0.0000, 0.4194], [0.5000, 0.5000, 0.7094], [0.0000, 0.0000, 0.0849], [0.5000, 0.5000, 0.2863]]}

---

# 7
{"formula": "CuPO4", "functional": "SCAN", "state": "single point on PBEsol structure", "raw_formation_energy_mev_per_atom": -1630.3, "dos_ef_per_ev_atom": 0.13, "spacegroup": "Pnma (62)", "lattice_angstrom": [[5.3203, 0.0000, 0.0000], [0.0000, 5.9372, 0.0000], [0.0000, 0.0000, 9.8297]], "species": ["P", "P", "P", "P", "O", "O", "O", "O", "O", "O", "O", "O", "O", "O", "O", "O", "O", "O", "O", "O", "Cu", "Cu", "Cu", "Cu"], "frac_coords": [[0.0417, 0.2500, 0.3862], [0.4583, 0.2500, 0.8862], [0.5417, 0.7500, 0.1138], [0.9583, 0.7500, 0.6138], [0.7562, 0.2500, 0.3611], [0.8130, 0.5528, 0.6811], [0.9164, 0.7500, 0.4582], [0.1870, 0.4472, 0.3189], [0.0836, 0.2500, 0.5418], [0.6870, 0.5528, 0.1811], [0.3130, 0.4472, 0.8189], [0.7438, 0.2500, 0.8611], [0.1870, 0.0528, 0.3189], [0.3130, 0.0528, 0.8189], [0.2438, 0.7500, 0.6389], [0.4164, 0.2500, 0.0418], [0.6870, 0.9472, 0.1811], [0.2562, 0.7500, 0.1389], [0.5836, 0.7500, 0.9582], [0.8130, 0.9472, 0.6811], [0.8766, 0.2500, 0.6879], [0.1234, 0.7500, 0.3121], [0.6234, 0.2500, 0.1879], [0.3766, 0.7500, 0.8121]]}

---

# 8
{"formula": "InSbN2F", "functional": "SCAN", "state": "single point on PBEsol structure", "raw_formation_energy_mev_per_atom": 445.1, "dos_ef_per_ev_atom": 0.33, "spacegroup": "P4/mmm (123)", "lattice_angstrom": [[4.0780, 0.0000, 0.0000], [0.0000, 4.1998, 0.0000], [0.0000, 0.0000, 4.1998]], "species": ["F", "N", "N", "In", "Sb"], "frac_coords": [[0.5000, 0.0000, 0.0000], [0.0000, 0.0000, 0.5000], [0.0000, 0.5000, 0.0000], [0.0000, 0.0000, 0.0000], [0.5000, 0.5000, 0.5000]]}

---

# 9
{"formula": "MgZr3C", "functional": "SCAN", "state": "single point on PBEsol structure", "e_form_ev_per_atom": -0.4057, "dos_ef_per_ev_atom": 0.50, "relative_energy_ev_per_atom": 0.0000, "spacegroup": "Pm-3m (221)", "lattice_angstrom": [[-4.1144, -1.7263, 0.9294], [1.3878, -4.0905, -1.4541], [1.3849, -1.0297, 4.2183]], "species": ["C", "Zr", "Zr", "Zr", "Mg"], "frac_coords": [[0.0000, 0.0000, 0.0000], [0.5000, 0.0000, 0.0000], [0.0000, 0.0000, 0.5000], [0.0000, 0.5000, 0.0000], [0.5000, 0.5000, 0.5000]]}

---

# 10
{"formula": "Cs2NaCrCl6", "functional": "SCAN", "state": "single point on PBEsol structure", "raw_formation_energy_mev_per_atom": -1972.8, "dos_ef_per_ev_atom": 0.00, "spacegroup": "Fm-3m (225)", "lattice_angstrom": [[7.2068, 0.0000, 0.0000], [3.6034, 6.2413, 0.0000], [3.6034, 2.0804, 5.8843]], "species": ["Cl", "Cl", "Cl", "Cl", "Cl", "Cl", "Cs", "Cs", "Na", "Cr"], "frac_coords": [[0.7708, 0.2292, 0.2292], [0.7708, 0.2292, 0.7708], [0.7708, 0.7708, 0.2292], [0.2292, 0.7708, 0.2292], [0.2292, 0.2292, 0.7708], [0.2292, 0.7708, 0.7708], [0.2500, 0.2500, 0.2500], [0.7500, 0.7500, 0.7500], [0.5000, 0.5000, 0.5000], [0.0000, 0.0000, 0.0000]]}

---

# 11
{"formula": "ZrNiAs2", "functional": "SCAN", "state": "single point on PBEsol structure", "e_form_ev_per_atom": -0.5949, "dos_ef_per_ev_atom": 0.44, "spacegroup": "Cm (8)", "lattice_angstrom": [[-3.0124, 1.2092, 1.4112], [-1.9505, -1.3633, -2.9955], [1.3984, -4.5046, 2.4061]], "species": ["As", "As", "Zr", "Ni"], "frac_coords": [[0.0006, 0.1078, 0.0012], [0.2828, 0.6803, 0.5656], [0.7168, 0.1449, 0.4336], [0.4998, 0.5669, 0.9996]]}

---

# 12
{"formula": "Zn2AgPt", "functional": "SCAN", "state": "single point on PBEsol structure", "e_form_ev_per_atom": -0.3242, "dos_ef_per_ev_atom": 0.27, "spacegroup": "Pmmm (47)", "lattice_angstrom": [[2.8195, 0.0000, 0.0000], [0.0000, 3.6080, 0.0000], [0.0000, 0.0000, 5.7125]], "species": ["Ag", "Zn", "Zn", "Pt"], "frac_coords": [[0.5000, 0.5000, 0.0000], [0.0000, 0.0000, 0.2626], [0.0000, 0.0000, 0.7374], [0.5000, 0.5000, 0.5000]]}

---

# 13
{"formula": "Sr2SbH2", "functional": "SCAN", "state": "single point on PBEsol structure", "dos_ef_per_ev_atom": 0.16, "spacegroup": "I4/mmm (139)", "dft_energy_ev_per_atom": -18.568, "lattice_angstrom": [[3.9513, 0.0000, 0.0000], [0.0000, 3.9513, 0.0000], [-1.9757, -1.9757, 6.9613]], "species": ["Sb", "Sr", "Sr", "H", "H"], "frac_coords": [[0.0000, 0.0000, 0.0000], [0.6497, 0.6497, 0.2994], [0.3503, 0.3503, 0.7006], [0.2500, 0.7500, 0.5000], [0.7500, 0.2500, 0.5000]]}

---

# 14
{"formula": "CaCdW", "functional": "SCAN", "state": "single point on PBEsol structure", "e_form_ev_per_atom": 1.3516, "dos_ef_per_ev_atom": 0.81, "relative_energy_ev_per_atom": 0.0000, "spacegroup": "F-43m (216)", "lattice_angstrom": [[-4.2960, 1.2506, 1.6160], [-3.8735, -0.8720, -2.6204], [-3.0933, -3.3454, 1.3676]], "species": ["W", "Cd", "Ca"], "frac_coords": [[0.0000, 0.0000, 0.0000], [0.2500, 0.2500, 0.2500], [0.5000, 0.5000, 0.5000]]}

---

# 15
{"formula": "BeReCl2", "functional": "SCAN", "state": "single point on PBEsol structure", "raw_formation_energy_mev_per_atom": 681.1, "dos_ef_per_ev_atom": 0.46, "relative_energy_ev_per_atom": 0.6548, "spacegroup": "P2/m (10)", "lattice_angstrom": [[2.8272, 0.0000, -0.0266], [0.0000, 4.0279, 0.0000], [-1.4161, 0.0000, 5.2286]], "species": ["Be", "Re", "Cl", "Cl"], "frac_coords": [[0.0000, 0.5000, 0.0000], [0.5000, 0.5000, 0.5000], [0.3933, 0.0000, 0.2447], [0.6067, 0.0000, 0.7553]]}

---

# 16
{"formula": "Mn3As2", "functional": "SCAN", "state": "single point on PBEsol structure", "e_form_ev_per_atom": -0.3347, "dos_ef_per_ev_atom": 0.61, "spacegroup": "C2/m (12)", "lattice_angstrom": [[3.4796, 0.0000, 0.0000], [1.7398, 6.2539, 0.0852], [1.7398, 0.6983, 6.1352]], "species": ["Mn", "Mn", "Mn", "Mn", "Mn", "Mn", "As", "As", "As", "As"], "frac_coords": [[0.5925, 0.7141, 0.1009], [0.0000, 0.0000, 0.0000], [0.4075, 0.2859, 0.8991], [0.6839, 0.9355, 0.6968], [0.3161, 0.0645, 0.3032], [0.5000, 0.5000, 0.5000], [0.2477, 0.6732, 0.8314], [0.0677, 0.2244, 0.6401], [0.7523, 0.3268, 0.1686], [0.9323, 0.7756, 0.3599]]}

---

# 17
{"formula": "ZrCrBr2", "functional": "SCAN", "state": "single point on PBEsol structure", "raw_formation_energy_mev_per_atom": -421.9, "dos_ef_per_ev_atom": 0.33, "relative_energy_ev_per_atom": 0.2052, "spacegroup": "R-3m (166)", "lattice_angstrom": [[-1.8018, -2.6969, 0.8065], [-1.4962, -1.7876, -2.3950], [6.6329, -6.8992, -1.3263]], "species": ["Br", "Br", "Zr", "Cr"], "frac_coords": [[0.2649, 0.2649, 0.2053], [0.7351, 0.7351, 0.7947], [0.0000, 0.0000, 0.0000], [0.5000, 0.5000, 0.5000]]}

---

# 18
{"formula": "KNa2Ge2", "functional": "SCAN", "state": "single point on PBEsol structure", "e_form_ev_per_atom": -0.0828, "dos_ef_per_ev_atom": 0.34, "spacegroup": "I4/mmm (139)", "lattice_angstrom": [[5.1042, 0.0000, 0.0000], [0.0000, 5.1042, 0.0000], [-2.5521, -2.5521, 5.5645]], "species": ["Ge", "Ge", "Na", "Na", "K"], "frac_coords": [[0.6027, 0.6027, 0.2054], [0.3973, 0.3973, 0.7946], [0.7500, 0.2500, 0.5000], [0.2500, 0.7500, 0.5000], [0.0000, 0.0000, 0.0000]]}

---

# 19
{"formula": "AlZnSi2", "functional": "SCAN", "state": "single point on PBEsol structure", "raw_formation_energy_mev_per_atom": 363.4, "dos_ef_per_ev_atom": 0.40, "spacegroup": "R3m (160)", "lattice_angstrom": [[-1.4242, -2.2216, -0.7225], [-0.4338, -1.9980, 1.8182], [-8.3293, 2.6756, 3.0114]], "species": ["Al", "Si", "Si", "Zn"], "frac_coords": [[0.2510, 0.2510, 0.2470], [0.0017, 0.0017, 0.9950], [0.7483, 0.7483, 0.7551], [0.4990, 0.4990, 0.5029]]}

---

# 20
{"formula": "ScB2SbI", "functional": "SCAN", "state": "single point on PBEsol structure", "raw_formation_energy_mev_per_atom": 1649.7, "dos_ef_per_ev_atom": 0.57, "spacegroup": "P4/mmm (123)", "lattice_angstrom": [[4.4590, 0.0000, 0.0000], [0.0000, 4.4590, 0.0000], [0.0000, 0.0000, 5.4304]], "species": ["Sc", "I", "Sb", "B", "B"], "frac_coords": [[0.0000, 0.0000, 0.5000], [0.0000, 0.0000, 0.0000], [0.5000, 0.5000, 0.5000], [0.5000, 0.0000, 0.0000], [0.0000, 0.5000, 0.0000]]}

---

# 21
{"formula": "CaLaZn2", "functional": "SCAN", "state": "single point on PBEsol structure", "e_form_ev_per_atom": -0.3403, "dos_ef_per_ev_atom": 0.49, "relative_energy_ev_per_atom": 0.0271, "spacegroup": "P4/mmm (123)", "lattice_angstrom": [[-2.1133, -2.4279, -1.6180], [4.1816, -2.9080, -1.0979], [-0.5661, -2.5220, 4.5240]], "species": ["La", "Zn", "Zn", "Ca"], "frac_coords": [[0.5000, 0.5000, 0.5000], [0.0000, 0.0000, 0.5000], [0.0000, 0.5000, 0.0000], [0.5000, 0.0000, 0.0000]]}

---

# 22
{"formula": "SnBr3N", "functional": "SCAN", "state": "single point on PBEsol structure", "raw_formation_energy_mev_per_atom": 700.9, "dos_ef_per_ev_atom": 0.42, "spacegroup": "Pm-3m (221)", "lattice_angstrom": [[4.7076, 0.0000, 0.0000], [0.0000, 4.7076, 0.0000], [0.0000, 0.0000, 4.7076]], "species": ["Br", "Br", "Br", "N", "Sn"], "frac_coords": [[0.0000, 0.0000, 0.5000], [0.5000, 0.0000, 0.0000], [0.0000, 0.5000, 0.0000], [0.0000, 0.0000, 0.0000], [0.5000, 0.5000, 0.5000]]}

---

# 23
{"formula": "Ti3ReO", "functional": "SCAN", "state": "single point on PBEsol structure", "raw_formation_energy_mev_per_atom": -1211.3, "dos_ef_per_ev_atom": 1.23, "spacegroup": "Pm-3m (221)", "lattice_angstrom": [[4.0535, 0.0000, 0.0000], [0.0000, 4.0535, 0.0000], [0.0000, 0.0000, 4.0535]], "species": ["Re", "Ti", "Ti", "Ti", "O"], "frac_coords": [[0.5000, 0.5000, 0.5000], [0.0000, 0.5000, 0.0000], [0.0000, 0.0000, 0.5000], [0.5000, 0.0000, 0.0000], [0.0000, 0.0000, 0.0000]]}

---

# 24
{"formula": "BaBSbS2", "functional": "SCAN", "state": "single point on PBEsol structure", "raw_formation_energy_mev_per_atom": 755.6, "dos_ef_per_ev_atom": 0.84, "spacegroup": "P4/mmm (123)", "lattice_angstrom": [[-0.1775, -4.6445, 1.8479], [4.5980, 0.5736, 1.8834], [-2.5536, 2.2994, 5.5337]], "species": ["Ba", "Sb", "S", "S", "B"], "frac_coords": [[0.0000, 0.0000, 0.5000], [0.0000, 0.0000, 0.0000], [0.0000, 0.5000, 0.0000], [0.5000, 0.0000, 0.0000], [0.5000, 0.5000, 0.5000]]}

---

# 25
{"formula": "ZrAsI2N", "functional": "SCAN", "state": "single point on PBEsol structure", "raw_formation_energy_mev_per_atom": 675.9, "dos_ef_per_ev_atom": 0.51, "spacegroup": "P4/mmm (123)", "lattice_angstrom": [[3.6146, 0.0000, 0.0000], [0.0000, 5.7406, 0.0000], [0.0000, 0.0000, 5.7406]], "species": ["Zr", "As", "I", "I", "N"], "frac_coords": [[0.5000, 0.5000, 0.5000], [0.0000, 0.0000, 0.0000], [0.0000, 0.0000, 0.5000], [0.0000, 0.5000, 0.0000], [0.5000, 0.0000, 0.0000]]}

---

# 26
{"formula": "Zn4SnN4", "functional": "SCAN", "state": "single point on PBEsol structure", "raw_formation_energy_mev_per_atom": 39.8, "spacegroup": "P-1 (2)", "lattice_angstrom": [[5.7872, 0.0293, -0.0138], [0.1347, 5.9040, 0.0120], [2.3815, 0.0241, 8.2217]], "species": ["Zn", "Zn", "Zn", "Zn", "Zn", "Zn", "Zn", "Zn", "N", "N", "N", "N", "N", "N", "N", "N", "Sn", "Sn"], "frac_coords": [[0.7994, 0.1317, 0.0508], [0.8311, 0.3451, 0.5463], [0.1689, 0.6549, 0.4537], [0.5089, 0.8620, 0.6246], [0.2006, 0.8683, 0.9492], [0.4911, 0.1380, 0.3754], [0.7697, 0.6556, 0.8459], [0.2303, 0.3444, 0.1541], [0.5537, 0.3257, 0.1837], [0.8506, 0.8013, 0.0254], [0.0145, 0.5059, 0.6701], [0.9855, 0.4941, 0.3299], [0.1494, 0.1987, 0.9746], [0.4463, 0.6743, 0.8163], [0.4671, 0.8072, 0.4054], [0.5329, 0.1928, 0.5946], [0.2832, 0.3824, 0.7660], [0.7168, 0.6176, 0.2340]]}

---

# 27
{"formula": "Mg2AgPd", "functional": "SCAN", "state": "single point on PBEsol structure", "e_form_ev_per_atom": -0.5223, "dos_ef_per_ev_atom": 0.31, "spacegroup": "Fm-3m (225)", "lattice_angstrom": [[4.5420, 0.0000, 0.0000], [2.2710, 3.9335, 0.0000], [2.2710, 1.3112, 3.7086]], "species": ["Mg", "Mg", "Pd", "Ag"], "frac_coords": [[0.7500, 0.7500, 0.7500], [0.2500, 0.2500, 0.2500], [0.0000, 0.0000, 0.0000], [0.5000, 0.5000, 0.5000]]}